1.
Pm2ScBe PBE-GGA relaxed; excess energy over the best structure of this formula in the dataset = 547 meV per atom; total moment = 0.0 Bohr magnetons per cell; SG = R-3m, No. 166; calculated total energy = -4.21 eV/atom
1.0
-2.7390 1.8290 0.7279
-1.7173 -0.5925 2.8420
4.9855 7.9233 6.6657
Sc Pm Be
1 2 1
direct
0.5000 0.5000 0.5000
0.9136 0.9136 0.2591
0.0864 0.0864 0.7409
0.0000 0.0000 0.0000

2.
Pr3BiRuCl PBE-GGA relaxed; total moment = 0.0 Bohr magnetons per cell; formation energy from raw total energies = -0.73 eV/atom; SG = P2_1/m, No. 11; calculated total energy = -5.62 eV/atom
1.0
4.6062 0.0000 0.0000
0.0000 7.9687 -0.6032
0.0000 -2.7505 9.5053
Pr Ru Bi Cl
6 2 2 2
direct
0.2500 0.0872 0.8981
0.7500 0.2841 0.5348
0.2500 0.5331 0.8641
0.7500 0.4669 0.1359
0.2500 0.7159 0.4652
0.7500 0.9128 0.1019
0.7500 0.2711 0.8494
0.2500 0.7289 0.1506
0.7500 0.7412 0.7198
0.2500 0.2588 0.2802
0.2500 0.1199 0.6128
0.7500 0.8801 0.3872

3.
Hf12OsRh6 PBE-GGA relaxed; total moment = 0.0 Bohr magnetons per cell; SG = R-3, No. 148; calculated total energy = -9.52 eV/atom
1.0
7.6643 -0.0775 -0.0928
-1.2385 7.5640 -0.0928
-1.2385 -1.4430 7.4256
Os Hf Rh
1 12 6
direct
0.0000 0.0000 0.0000
0.3238 0.0671 0.9412
0.1754 0.4274 0.5835
0.4165 0.8246 0.5726
0.9329 0.0588 0.6762
0.9412 0.3238 0.0671
0.5726 0.4165 0.8246
0.0671 0.9412 0.3238
0.0588 0.6762 0.9329
0.4274 0.5835 0.1754
0.5835 0.1754 0.4274
0.6762 0.9329 0.0588
0.8246 0.5726 0.4165
0.1374 0.6124 0.3062
0.3876 0.6938 0.8626
0.3062 0.1374 0.6124
0.6124 0.3062 0.1374
0.8626 0.3876 0.6938
0.6938 0.8626 0.3876

4.
Sr4BiSe2Br PBE-GGA relaxed; total moment = 0.0 Bohr magnetons per cell; formation energy from raw total energies = -1.68 eV/atom; SG = Fmmm, No. 69; calculated total energy = -4.09 eV/atom
1.0
-3.5453 4.3099 -3.3052
2.3422 -2.3561 -5.5706
-4.3311 -5.2417 4.1674
Sr Se Br Bi
4 2 1 1
direct
0.6901 0.6901 0.5064
0.9373 0.4373 0.0000
0.1837 0.1837 0.4936
0.4373 0.9373 0.0000
0.6870 0.1870 0.5000
0.1870 0.6870 0.5000
0.4377 0.4377 0.0000
0.9373 0.9373 0.0000